## Li2PrCoO4 (GGA+U)

Data for an optimized crystal structure of Li2PrCoO4.

a b c (Å): 4.989 4.989 4.989
angles (deg): 115.42 115.42 98.14
Sites, in units of the cell vectors:
Li  0.250  0.750  0.500
Li  0.750  0.250  0.500
Pr  0.000  0.000  0.000
Co  0.500  0.500  0.000
O  0.135  0.135  0.579
O  0.444  0.865  0.000
O  0.556  0.556  0.421
O  0.865  0.444  0.000

Values from the calculation:
SG: I-42m (121)
Final energy, eV/atom: -6.242
V, Å³ per atom: 11.6